1.
{"formula": "KCdS2N", "functional": "PBE", "state": "relaxed", "formation_energy_uncorrected_ev_per_atom": 0.578, "lattice": [[5.1705, 0.0000, 0.0000], [0.0000, 5.1705, 0.0000], [0.0000, 0.0000, 4.6006]], "species": ["K", "Cd", "S", "S", "N"], "fractional_positions": [[0.0000, 0.0000, 0.0000], [0.5000, 0.5000, 0.5000], [0.0000, 0.5000, 0.5000], [0.5000, 0.0000, 0.5000], [0.5000, 0.5000, 0.0000]]}

***

2.
{"formula": "KCdS2N", "functional": "PBE", "state": "relaxed", "formation_energy_uncorrected_ev_per_atom": 1.481, "lattice": [[5.6444, 0.0000, 0.0000], [0.0000, 5.6444, 0.0000], [0.0000, 0.0000, 4.8907]], "species": ["K", "Cd", "S", "S", "N"], "fractional_positions": [[0.0000, 0.0000, 0.0000], [0.5000, 0.5000, 0.5000], [0.0000, 0.5000, 0.0000], [0.5000, 0.0000, 0.0000], [0.0000, 0.0000, 0.5000]]}

***

3.
{"formula": "KCdSN2", "functional": "PBE", "state": "relaxed", "formation_energy_uncorrected_ev_per_atom": 1.190, "lattice": [[4.6215, 0.0000, 0.0000], [0.0000, 4.6215, 0.0000], [0.0000, 0.0000, 5.2373]], "species": ["K", "Cd", "S", "N", "N"], "fractional_positions": [[0.0000, 0.0000, 0.0000], [0.5000, 0.5000, 0.5000], [0.5000, 0.5000, 0.0000], [0.0000, 0.5000, 0.5000], [0.5000, 0.0000, 0.5000]]}

***

4.
{"formula": "K2CdSbN", "functional": "PBE", "state": "relaxed", "formation_energy_uncorrected_ev_per_atom": 0.840, "lattice": [[6.8060, 0.0000, 0.0000], [0.0000, 6.8060, 0.0000], [0.0000, 0.0000, 5.2202]], "species": ["K", "K", "Cd", "Sb", "N"], "fractional_positions": [[0.0000, 0.5000, 0.0000], [0.5000, 0.0000, 0.0000], [0.0000, 0.0000, 0.0000], [0.0000, 0.0000, 0.5000], [0.5000, 0.5000, 0.5000]]}

***

5.
{"formula": "KCdSeN2", "functional": "PBE", "state": "relaxed", "formation_energy_uncorrected_ev_per_atom": 1.892, "lattice": [[4.8404, 0.0000, 0.0000], [0.0000, 4.8404, 0.0000], [0.0000, 0.0000, 6.4395]], "species": ["K", "Cd", "Se", "N", "N"], "fractional_positions": [[0.0000, 0.0000, 0.0000], [0.5000, 0.5000, 0.5000], [0.0000, 0.0000, 0.5000], [0.0000, 0.5000, 0.0000], [0.5000, 0.0000, 0.0000]]}

***

6.
{"formula": "KCdSeN2", "functional": "PBE", "state": "relaxed", "formation_energy_uncorrected_ev_per_atom": 1.174, "lattice": [[4.6724, 0.0000, 0.0000], [0.0000, 4.6724, 0.0000], [0.0000, 0.0000, 5.4960]], "species": ["K", "Cd", "Se", "N", "N"], "fractional_positions": [[0.0000, 0.0000, 0.0000], [0.5000, 0.5000, 0.5000], [0.5000, 0.5000, 0.0000], [0.0000, 0.5000, 0.5000], [0.5000, 0.0000, 0.5000]]}

***

7.
{"formula": "KSrCdN2", "functional": "PBE", "state": "relaxed", "formation_energy_uncorrected_ev_per_atom": 1.037, "lattice": [[4.9965, 0.0000, 0.0000], [0.0000, 4.9965, 0.0000], [0.0000, 0.0000, 6.2001]], "species": ["K", "Sr", "Cd", "N", "N"], "fractional_positions": [[0.0000, 0.0000, 0.0000], [0.5000, 0.5000, 0.5000], [0.5000, 0.5000, 0.0000], [0.0000, 0.5000, 0.5000], [0.5000, 0.0000, 0.5000]]}

***

8.
{"formula": "KTaCdN2", "functional": "PBE", "state": "relaxed", "formation_energy_uncorrected_ev_per_atom": 2.536, "lattice": [[4.4619, 0.0000, 0.0000], [0.0000, 4.4619, 0.0000], [0.0000, 0.0000, 5.0323]], "species": ["K", "Ta", "Cd", "N", "N"], "fractional_positions": [[0.0000, 0.0000, 0.0000], [0.5000, 0.5000, 0.0000], [0.0000, 0.0000, 0.5000], [0.0000, 0.5000, 0.5000], [0.5000, 0.0000, 0.5000]]}

***

9.
{"formula": "K5Na4Cd2", "functional": "PBE", "state": "relaxed", "delta_e_f_ev_per_atom": 0.0213, "lattice": [[13.3357, -2.0369, 0.0000], [13.3357, 2.0369, 0.0000], [-4.0553, 0.0000, 9.5876]], "species": ["K", "K", "K", "K", "K", "Na", "Na", "Na", "Na", "Cd", "Cd"], "fractional_positions": [[0.0000, 0.0000, 0.0000], [0.3510, 0.3510, 0.6234], [0.3515, 0.3515, 0.0772], [0.6485, 0.6485, 0.9228], [0.6490, 0.6490, 0.3766], [0.2240, 0.2240, 0.7256], [0.5001, 0.5001, 0.3430], [0.4999, 0.4999, 0.6570], [0.7760, 0.7760, 0.2744], [0.0895, 0.0895, 0.5904], [0.9105, 0.9105, 0.4096]]}

***

10.
{"formula": "K12Na7Cd", "functional": "PBE", "state": "relaxed", "delta_e_f_ev_per_atom": 0.0113, "lattice": [[7.4232, 0.0000, 0.0000], [1.3403, 12.1860, 0.0000], [2.0842, 2.9691, 12.4487]], "species": ["K", "K", "K", "K", "K", "K", "K", "K", "K", "K", "K", "K", "Na", "Na", "Na", "Na", "Na", "Na", "Na", "Cd"], "fractional_positions": [[0.0395, 0.3152, 0.0290], [0.1110, 0.4603, 0.6695], [0.1394, 0.0737, 0.7734], [0.3435, 0.7316, 0.3982], [0.4071, 0.8319, 0.0457], [0.4487, 0.4405, 0.1822], [0.5513, 0.5595, 0.8178], [0.5929, 0.1681, 0.9543], [0.6565, 0.2684, 0.6018], [0.8606, 0.9263, 0.2266], [0.8890, 0.5397, 0.3305], [0.9605, 0.6848, 0.9710], [0.1918, 0.2463, 0.4544], [0.2052, 0.8004, 0.6742], [0.2991, 0.0814, 0.2619], [0.5000, 0.0000, 0.5000], [0.7009, 0.9186, 0.7381], [0.7948, 0.1996, 0.3258], [0.8082, 0.7537, 0.5456], [0.0000, 0.0000, 0.5000]]}

***

11.
{"formula": "KNa6Cd", "functional": "PBE", "state": "relaxed", "delta_e_f_ev_per_atom": 0.0002, "lattice": [[5.3721, 0.0000, 0.0000], [0.0000, 5.3721, 0.0000], [0.0000, 0.0000, 10.2025]], "species": ["K", "Na", "Na", "Na", "Na", "Na", "Na", "Cd"], "fractional_positions": [[0.0000, 0.0000, 0.0000], [0.0000, 0.5000, 0.2917], [0.0000, 0.5000, 0.7083], [0.5000, 0.0000, 0.2917], [0.5000, 0.0000, 0.7083], [0.5000, 0.5000, 0.0000], [0.5000, 0.5000, 0.5000], [0.0000, 0.0000, 0.5000]]}

***

12.
{"formula": "K2NaCd", "functional": "PBE", "state": "relaxed", "delta_e_f_ev_per_atom": 0.0103, "lattice": [[4.3607, 0.0000, 0.0000], [0.0000, 4.3607, 0.0000], [0.0000, 0.0000, 9.6296]], "species": ["K", "K", "Na", "Cd"], "fractional_positions": [[0.0000, 0.0000, 0.2214], [0.0000, 0.0000, 0.7786], [0.5000, 0.5000, 0.5000], [0.5000, 0.5000, 0.0000]]}

***

Repeat the seventh record exactly.
{"formula": "KSrCdN2", "functional": "PBE", "state": "relaxed", "formation_energy_uncorrected_ev_per_atom": 1.037, "lattice": [[4.9965, 0.0000, 0.0000], [0.0000, 4.9965, 0.0000], [0.0000, 0.0000, 6.2001]], "species": ["K", "Sr", "Cd", "N", "N"], "fractional_positions": [[0.0000, 0.0000, 0.0000], [0.5000, 0.5000, 0.5000], [0.5000, 0.5000, 0.0000], [0.0000, 0.5000, 0.5000], [0.5000, 0.0000, 0.5000]]}